[1]
An optimized crystal structure of NdAl3PdAu. Source: Alexandria via LeMat-Bulk, functional PBE-GGA.

Its calculated formation energy is -0.53 eV/atom. The total moment is 0.0 Bohr magnetons per cell.

The structure belongs to space group Cmcm (No. 63); the cell edges are 6.1104, 12.9532 and 5.9853 Å and the angles 90.00°, 90.00° and 90.00°. The asymmetric unit holds Nd at (0.0000, 0.2078, 0.2500), Al at (0.0000, 0.3675, 0.7500), Al at (0.2126, 0.0000, 0.0000), Pd at (0.0000, 0.4204, 0.2500) and Au at (0.0000, 0.1583, 0.7500).

[2]
An optimized crystal structure of CsPdS2. Source: Alexandria via LeMat-Bulk, functional PBE-GGA.

The total moment is 0.0 Bohr magnetons per cell. The calculation puts the formation energy (no corrections) at -49.7 kJ per mole of atoms.

The structure belongs to space group Cmmm (No. 65); the cell edges are 7.0065, 8.9585 and 3.6398 Å and the angles 90.00°, 90.00° and 90.00°. The asymmetric unit holds Cs at (0.0000, 0.0000, 0.0000), Pd at (0.0000, 0.5000, 0.0000) and S at (0.0000, 0.3343, 0.5000).

[3]
An optimized crystal structure of BeSiAu2. Source: Alexandria via LeMat-Bulk, functional PBE-GGA.

The total moment is 0.0 Bohr magnetons per cell. The calculation puts the formation energy (no corrections) at 8.1 kJ per mole of atoms.

The structure belongs to space group Immm (No. 71); the cell edges are 2.8671, 3.7839 and 11.4832 Å and the angles 90.00°, 90.00° and 90.00°. The asymmetric unit holds Be at (0.0000, 0.0000, 0.0000), Si at (0.0000, 0.0000, 0.5000) and Au at (0.0000, 0.5000, 0.3287).

[4]
An optimized crystal structure of Tb5YHo12. Source: Alexandria via LeMat-Bulk, functional PBE-GGA.

Its calculated formation energy is 0.02 eV/atom. The total moment is 0.0 Bohr magnetons per cell.

The structure belongs to space group P2/m (No. 10); the cell edges are 10.6048, 5.0010 and 10.6178 Å and the angles 90.00°, 90.13° and 90.00°. The asymmetric unit holds Tb at (0.0000, 0.0000, 0.0000), Tb at (0.1668, 0.5000, 0.8332), Tb at (0.3330, 0.0000, 0.6670), Y at (0.5000, 0.5000, 0.5000), Ho at (0.0003, 0.0000, 0.3338), Ho at (0.1659, 0.5000, 0.4996), Ho at (0.1670, 0.5000, 0.1671), Ho at (0.3325, 0.0000, 0.3326), Ho at (0.3337, 0.0000, 0.0004) and Ho at (0.4995, 0.5000, 0.1660).

[5]
An optimized crystal structure of Ho3Se3S. Source: Alexandria via LeMat-Bulk, functional PBE-GGA.

The total moment is 0.0 Bohr magnetons per cell. For the energy relative to the lowest polymorph listed for this composition, the calculation gives 29 kJ/mol of formula units. The calculation puts the formation energy (no corrections) at -159.9 kJ per mole of atoms.

The structure belongs to space group C2/m (No. 12); the cell edges are 8.4895, 11.7834 and 7.3573 Å and the angles 90.00°, 90.76° and 90.00°. The asymmetric unit holds Ho at (0.0619, 0.0000, 0.2851), Ho at (0.1290, 0.3490, 0.2011), Se at (0.0000, 0.1620, 0.0000), Se at (0.0000, 0.2320, 0.5000), Se at (0.1381, 0.5000, 0.8674) and S at (0.2348, 0.0000, 0.5962).

[6]
An optimized crystal structure of SmUPa2N4. Source: Alexandria via LeMat-Bulk, functional PBE-GGA.

The total moment is 1.2 Bohr magnetons per cell. The calculation puts the formation energy (no corrections) at -145.7 kJ per mole of atoms.

The structure belongs to space group P2/m (No. 10); the cell edges are 6.0617, 3.5045 and 6.0646 Å and the angles 90.00°, 109.51° and 90.00°. The asymmetric unit holds Sm at (0.0000, 0.0000, 0.0000), U at (0.5000, 0.5000, 0.0000), Pa at (0.0000, 0.5000, 0.5000), Pa at (0.5000, 0.0000, 0.5000), N at (0.2579, 0.0000, 0.7500) and N at (0.2652, 0.5000, 0.2594).

[7]
An optimized crystal structure of Mg2SbRh. Source: Alexandria via LeMat-Bulk, functional PBE-GGA.

The total moment is 0.0 Bohr magnetons per cell. The calculation puts the formation energy (no corrections) at -17.4 kJ per mole of atoms.

The structure belongs to space group R-3m (No. 166, hexagonal axes); the cell edges are 3.2646, 3.2646 and 26.1473 Å and the angles 90.00°, 90.00° and 120.00°. The asymmetric unit holds Mg at (0.0000, 0.0000, 0.2381), Sb at (0.0000, 0.0000, 0.0000) and Rh at (0.0000, 0.0000, 0.5000).

[8]
An optimized crystal structure of NdHg6Pb. Source: Alexandria via LeMat-Bulk, functional PBE-GGA.

Its calculated formation energy is -0.17 eV/atom. The total moment is 0.0 Bohr magnetons per cell.

The structure belongs to space group Amm2 (No. 38); the cell edges are 5.1426, 6.9953 and 11.6281 Å and the angles 90.00°, 90.00° and 90.00°. The asymmetric unit holds Nd at (0.0000, 0.0000, 0.0000), Hg at (0.0000, 0.0000, 0.4997), Hg at (0.0000, 0.2307, 0.7428), Hg at (0.5000, 0.0000, 0.8298), Hg at (0.5000, 0.2412, 0.5721) and Pb at (0.5000, 0.0000, 0.3154).

Q: Which formula does entry 6 have?
A: SmUPa2N4